w) 5
Lattice="4.996 0.000 0.000 0.000 4.996 0.000 0.000 0.000 4.996" Properties=species:S:1:pos:R:3 comment="Sc3NbP, optimized geometry, DFT GGA-PBE" volume_a3_per_atom=24.9 dos_ef_per_ev_cell=2.64 space_group="Pm-3m, No. 221" magmom_total_mub_per_fu=0.00 pbc="T T T"
Sc 0.000 0.000 2.498
Sc 0.000 2.498 0.000
Sc 2.498 0.000 0.000
Nb 0.000 0.000 0.000
P 2.498 2.498 2.498

x) 5
Lattice="4.884 0.000 0.000 0.000 4.884 0.000 0.000 0.000 4.884" Properties=species:S:1:pos:R:3 comment="Sc3NbP, optimized geometry, DFT GGA-PBE" volume_a3_per_atom=23.3 dos_ef_per_ev_cell=6.50 space_group="Pm-3m, No. 221" magmom_total_mub_per_fu=2.57 pbc="T T T"
Sc 0.000 0.000 2.442
Sc 0.000 2.442 0.000
Sc 2.442 0.000 0.000
Nb 2.442 2.442 2.442
P 0.000 0.000 0.000

Which is most stable, and by how much? x), by 742 meV per atom.

w) 5
Lattice="4.726 0.000 0.000 0.000 4.726 0.000 0.000 0.000 4.726" Properties=species:S:1:pos:R:3 comment="ScNb3P, optimized geometry, DFT GGA-PBE" volume_a3_per_atom=21.1 dos_ef_per_ev_cell=5.84 space_group="Pm-3m, No. 221" magmom_total_mub_per_fu=0.00 pbc="T T T"
Sc 0.000 0.000 0.000
Nb 0.000 0.000 2.363
Nb 0.000 2.363 0.000
Nb 2.363 0.000 0.000
P 2.363 2.363 2.363

x) 5
Lattice="4.682 0.000 0.000 0.000 4.682 0.000 0.000 0.000 4.682" Properties=species:S:1:pos:R:3 comment="ScNb3P, optimized geometry, DFT GGA-PBE" volume_a3_per_atom=20.5 dos_ef_per_ev_cell=7.02 space_group="Pm-3m, No. 221" magmom_total_mub_per_fu=0.00 pbc="T T T"
Sc 0.000 0.000 0.000
Nb 0.000 2.341 2.341
Nb 2.341 0.000 2.341
Nb 2.341 2.341 0.000
P 2.341 2.341 2.341

Which is most stable, and by how much? x), by 1730 meV per atom.

w) 8
Lattice="-2.890 2.890 5.681 2.890 -2.890 5.681 2.890 2.890 -5.681" Properties=species:S:1:pos:R:3 comment="ScNbP2, optimized geometry, DFT GGA-PBE" volume_a3_per_atom=23.7 dos_ef_per_ev_cell=7.78 space_group="I-42d, No. 122" magmom_total_mub_per_fu=0.00 pbc="T T T"
Sc 0.000 0.000 0.000
Sc 0.000 2.890 2.840
Nb 2.890 0.000 2.840
Nb 0.000 0.000 5.681
P 1.445 -1.330 4.261
P 1.560 1.445 1.420
P 1.445 4.220 -1.420
P 1.330 1.445 7.101

x) 4
Lattice="1.812 1.046 6.081 -1.812 1.046 6.081 0.000 -2.093 6.081" Properties=species:S:1:pos:R:3 comment="ScNbP2, optimized geometry, DFT GGA-PBE" volume_a3_per_atom=17.3 dos_ef_per_ev_cell=1.54 space_group="R-3m, No. 166" magmom_total_mub_per_fu=0.00 pbc="T T T"
Sc 0.000 0.000 0.000
Nb 0.000 0.000 9.121
P 0.000 0.000 4.520
P 0.000 0.000 13.722

Which is most stable, and by how much? x), by 617 meV per atom.

w) 4
Lattice="1.788 1.032 6.269 -1.788 1.032 6.269 0.000 -2.064 6.269" Properties=species:S:1:pos:R:3 comment="ScNbP2, optimized geometry, DFT GGA-PBE" volume_a3_per_atom=17.3 dos_ef_per_ev_cell=0.31 space_group="R3m, No. 160" magmom_total_mub_per_fu=0.00 pbc="T T T"
Sc 0.000 0.000 0.000
Nb 0.000 0.000 15.523
P 0.000 0.000 7.803
P 0.000 0.000 10.811

x) 4
Lattice="0.000 3.177 3.177 3.177 0.000 3.177 3.177 3.177 0.000" Properties=species:S:1:pos:R:3 comment="ScNbP2, optimized geometry, DFT GGA-PBE" volume_a3_per_atom=16.0 dos_ef_per_ev_cell=5.07 space_group="Fm-3m, No. 225" magmom_total_mub_per_fu=0.00 pbc="T T T"
Sc 0.000 0.000 0.000
Nb 3.177 3.177 3.177
P 1.588 1.588 1.588
P 4.765 4.765 4.765

Which is most stable, and by how much? w), by 485 meV per atom.